VASP calculation (PBE) on a geometry-optimized Tb8Er2Cd structure.

abc: 17.1032 5.3876 8.2759
angles: 90.00 116.33 90.00
With the nearest neighbours (Å) after each atom.
Space group C2/m (No. 12)
Symmetry-distinct sites (fractional):
Tb: 0.0196 0.0000 0.2235 x4  7 Tb 3.33-3.60, 2 Er 3.42-3.66, 2 Cd 3.64
Tb: 0.1065 0.5000 0.9323 x4  1 Cd 3.21, 2 Er 3.24, 3 Tb 3.33-3.56
Tb: 0.1600 0.0000 0.7013 x4  8 Tb 3.39-3.79, 3 Er 3.44-3.46, 2 Cd 3.67
Tb: 0.1677 0.5000 0.4029 x4  1 Cd 3.30, 3 Er 3.37-3.61, 6 Tb 3.42-3.70
Er: 0.2009 0.0000 0.1495 x4  9 Tb 3.24-3.61
Cd: 0.0000 0.5000 0.5000 x2  4 Tb 3.21-3.30

Output
**Energy above the most stable polymorph in this dataset**: 53 meV per atom
**Magnetization**: 0.00 μB/f.u.

VASP calculation (PBE) on a geometry-optimized BeCuPb3 structure.

abc: 5.2330 5.2330 5.2330
angles: 90.00 90.00 90.00
With the nearest neighbours (Å) after each atom.
Space group Pm-3m (No. 221)
Symmetry-distinct sites (fractional):
Be: 0.0000 0.0000 0.0000 x1  12 Pb 3.70
Cu: 0.5000 0.5000 0.5000 x1  6 Pb 2.62
Pb: 0.0000 0.5000 0.5000 x3  2 Cu 2.62

Output
**Energy above the most stable polymorph in this dataset**: 149 meV per atom
**Magnetization**: 0.00 μB/f.u.